## Sm6Ho3Er2Zr (PBE)

Data for an optimized crystal structure of Sm6Ho3Er2Zr.

Values from the calculation:
calculated density: 8.07 g/cm3
energy of formation from the pure elements: 0.05 eV per atom
volume: 31.27 Å³/atom
density of states at the Fermi level: 14.927 states/eV/f.u.

Structure (POSCAR):
```
Sm6Ho3Er2Zr
1.0
-2.674 3.939 3.872
-1.297 -5.988 0.343
9.964 -0.767 6.045
Ho Sm Zr Er
3 6 1 2
Direct
0.500 0.500 0.500
0.166 0.834 0.500
0.834 0.166 0.500
0.246 0.246 0.756
0.082 0.409 0.245
0.409 0.082 0.245
0.754 0.754 0.244
0.591 0.918 0.755
0.918 0.591 0.755
0.000 0.000 0.000
0.333 0.667 0.000
0.667 0.333 0.000
```